No. 1
Computed, not measured: an optimized crystal structure of SmAlGa4 at the GGA-PBE level of DFT.

Results
* ρ: 6.1 g/cm3
* ΔE_f: -185 meV/atom

The structure in CIF format:
```
data_SmAlGa4
_chemical_formula_sum 'Sm2 Al2 Ga8'
_symmetry_space_group_name_H-M 'C 1 2/m 1'
_symmetry_Int_Tables_number 12
_symmetry_space_group_name_Hall '-C 2y'
_cell_length_a 5.904
_cell_length_b 8.990
_cell_length_c 4.964
_cell_angle_alpha 90.00
_cell_angle_beta 110.00
_cell_angle_gamma 90.00
loop_
_atom_site_label
_atom_site_type_symbol
_atom_site_fract_x
_atom_site_fract_y
_atom_site_fract_z
_atom_site_occupancy
Sm1 Sm 0.000 0.000 0.000 1
Al1 Al 0.000 0.500 0.500 1
Ga1 Ga 0.000 0.203 0.500 1
Ga2 Ga 0.000 0.348 0.000 1
```

=====

No. 2
Computed, not measured: an optimized crystal structure of Sm4AlGa at the GGA-PBE level of DFT.

Results
* ρ: 6.5 g/cm3
* ΔE_f: -80 meV/atom

The structure in CIF format:
```
data_Sm4AlGa
_chemical_formula_sum 'Sm4 Al1 Ga1'
_symmetry_space_group_name_H-M 'P 1 2/m 1'
_symmetry_Int_Tables_number 10
_symmetry_space_group_name_Hall '-P 2y'
_cell_length_a 5.719
_cell_length_b 3.808
_cell_length_c 8.237
_cell_angle_alpha 90.00
_cell_angle_beta 90.08
_cell_angle_gamma 90.00
loop_
_atom_site_label
_atom_site_type_symbol
_atom_site_fract_x
_atom_site_fract_y
_atom_site_fract_z
_atom_site_occupancy
Sm1 Sm 0.001 0.000 0.216 1
Sm2 Sm 0.499 0.500 0.710 1
Al1 Al 0.500 0.000 0.000 1
Ga1 Ga 0.000 0.500 0.500 1
```

=====

No. 3
Computed, not measured: an optimized crystal structure of Sm3Al2Ga3 at the GGA-PBE level of DFT.

Results
* ρ: 6.6 g/cm3
* ΔE_f: -586 meV/atom

The structure in CIF format:
```
data_Sm3Al2Ga3
_chemical_formula_sum 'Sm12 Al8 Ga12'
_symmetry_space_group_name_H-M 'C m c m'
_symmetry_Int_Tables_number 63
_symmetry_space_group_name_Hall '-C 2c 2'
_cell_length_a 4.388
_cell_length_b 11.157
_cell_length_c 14.768
_cell_angle_alpha 90.00
_cell_angle_beta 90.00
_cell_angle_gamma 90.00
loop_
_atom_site_label
_atom_site_type_symbol
_atom_site_fract_x
_atom_site_fract_y
_atom_site_fract_z
_atom_site_occupancy
Sm1 Sm 0.000 0.074 0.114 1
Sm2 Sm 0.000 0.360 0.250 1
Al1 Al 0.000 0.219 0.597 1
Ga1 Ga 0.000 0.350 0.750 1
Ga2 Ga 0.000 0.386 0.040 1
```